Record 1
DFT (PBE-GGA) results for Sr3Ta2H4N3 after structural relaxation.

Computed properties:
The final energy is -6.295 eV/atom. As for the spin magnetization: 0.00 Bohr magnetons per cell.

Lattice parameters (Å, degrees): 3.8484 4.0771 11.2475 100.44 99.85 90.00
Closest atoms and distances in Å follow each position.
Fractional coordinates of all 12 atoms:
N 0.1074 0.6053 0.2105  2 Ta 2.06
N 0.0021 0.0000 0.0000  2 Ta 1.98
N 0.8969 0.3947 0.7895  2 Ta 2.06
H 0.6115 0.1092 0.2184  2 Ta 1.96
H 0.8058 0.8029 0.6058  1 Ta 2.31
H 0.2000 0.1971 0.3942  1 Ta 2.31
H 0.3930 0.8908 0.7816  2 Ta 1.96
Sr 0.3219 0.3197 0.6393  2 N 2.53, 5 H 2.56-2.83
Sr 0.6825 0.6803 0.3607  2 N 2.53, 5 H 2.56-2.83
Sr 0.5023 0.5000 0.0000  8 N 2.80-2.99, 4 H 3.13
Ta 0.0933 0.0911 0.1821  2 H 1.96, 3 N 1.98-2.06
Ta 0.9111 0.9089 0.8179  2 H 1.96, 3 N 1.98-2.06

***

Record 2
DFT (PBE-GGA) results for Nd2Al3Si4 after structural relaxation.

Computed properties:
The formation energy without anion corrections is -382 meV per atom. As for the spin magnetization: 0.00 Bohr magnetons per cell.

Lattice parameters (Å, degrees): 5.9518 7.8096 8.0187 90.00 111.78 90.00
Closest atoms and distances in Å follow each position.
Fractional coordinates of all 18 atoms:
Nd 0.3870 0.0846 0.7740  8 Si 3.07-3.19, 4 Al 3.21-3.38
Nd 0.8870 0.4154 0.7740  8 Si 3.07-3.19, 4 Al 3.21-3.38
Nd 0.1130 0.5846 0.2260  8 Si 3.07-3.19, 4 Al 3.21-3.38
Nd 0.6130 0.9154 0.2260  8 Si 3.07-3.19, 4 Al 3.21-3.38
Si 0.2010 0.7500 0.9020  3 Al 2.49-2.56
Si 0.2990 0.2500 0.0980  3 Al 2.49-2.56
Si 0.3130 0.4519 0.6260  5 Al 2.60-2.81
Si 0.1870 0.9519 0.3740  5 Al 2.60-2.81
Si 0.8130 0.0481 0.6260  5 Al 2.60-2.81
Si 0.7010 0.7500 0.9020  3 Al 2.49-2.56
Si 0.7990 0.2500 0.0980  3 Al 2.49-2.56
Si 0.6870 0.5481 0.3740  5 Al 2.60-2.81
Al 0.5000 0.5000 0.0000  6 Si 2.56-2.81
Al 0.5335 0.7500 0.5670  3 Si 2.49-2.60
Al 0.0335 0.7500 0.5670  3 Si 2.49-2.60
Al 0.4665 0.2500 0.4330  3 Si 2.49-2.60
Al 0.9665 0.2500 0.4330  3 Si 2.49-2.60
Al 0.0000 0.0000 0.0000  6 Si 2.56-2.81

***

Record 3
DFT (PBE-GGA) results for HoGa2Br5 after structural relaxation.

Computed properties:
The formation energy without anion corrections is -1196 meV per atom. As for the spin magnetization: 0.00 Bohr magnetons per cell.

Lattice parameters (Å, degrees): 7.7323 10.9108 8.8126 64.31 63.98 69.25
Closest atoms and distances in Å follow each position.
Fractional coordinates of all 16 atoms:
Br 0.8103 0.0332 0.0646  2 Ho 2.88
Br 0.3370 0.8199 0.1242  1 Ho 2.78, 1 Ga 3.07
Br 0.5652 0.7477 0.5042  1 Ho 2.78, 1 Ga 3.07
Br 0.1829 0.2477 0.0042  1 Ho 2.78, 1 Ga 3.07
Br 0.6300 0.4308 0.0181  1 Ho 2.78, 1 Ga 2.89
Br 0.9819 0.6356 0.1114  1 Ho 2.78, 1 Ga 2.89
Br 0.9211 0.9308 0.5181  1 Ho 2.78, 1 Ga 2.89
Br 0.7188 0.3199 0.6242  1 Ho 2.78, 1 Ga 3.07
Br 0.2711 0.1356 0.6114  1 Ho 2.78, 1 Ga 2.89
Br 0.0919 0.5332 0.5646  2 Ho 2.88
Ga 0.3000 0.0085 0.3321  5 Br 2.89-3.21
Ga 0.3594 0.5085 0.8321  5 Br 2.89-3.21
Ga 0.6017 0.5592 0.2967  5 Br 2.89-3.21
Ga 0.5423 0.0592 0.7967  5 Br 2.89-3.21
Ho 0.9513 0.7833 0.3147  6 Br 2.78-2.88
Ho 0.9506 0.2833 0.8147  6 Br 2.78-2.88

***

Record 4
DFT (PBE-GGA) results for ZnIrAu2 after structural relaxation.

Computed properties:
The value obtained for the formation energy is 0.45 eV per formula unit. As for the spin magnetization: 0.00 Bohr magnetons per cell.

Lattice parameters (Å, degrees): 4.8377 4.8377 4.8377 130.02 130.02 73.37
Closest atoms and distances in Å follow each position.
Fractional coordinates of all 4 atoms:
Au 0.2500 0.7500 0.5000  4 Ir 2.82, 4 Au 2.82, 4 Zn 2.89
Au 0.0000 0.0000 0.0000  4 Au 2.82, 4 Zn 2.82, 4 Ir 2.89
Zn 0.7500 0.2500 0.5000  4 Ir 2.82, 8 Au 2.82-2.89
Ir 0.5000 0.5000 0.0000  4 Zn 2.82, 8 Au 2.82-2.89

***

Record 5
DFT (PBE-GGA) results for TlPIr2 after structural relaxation.

Computed properties:
The energy relative to the lowest polymorph listed for this composition comes out at 0.1228 eV per atom. The value obtained for the formation energy is 0.71 eV per formula unit. As for the spin magnetization: 0.00 Bohr magnetons per cell.

Lattice parameters (Å, degrees): 2.9398 3.7831 6.2354 90.00 90.00 90.00
Closest atoms and distances in Å follow each position.
Fractional coordinates of all 4 atoms:
P 0.0000 0.0000 0.3968  5 Ir 2.28-2.47
Tl 0.5000 0.5000 0.7727  5 Ir 2.89-2.95, 2 Tl 2.94
Ir 0.5000 0.5000 0.2997  4 P 2.47
Ir 0.0000 0.0000 0.0309  1 P 2.28

***

Record 6
DFT (PBE-GGA) results for Ta3Be3N after structural relaxation.

Computed properties:
The formation energy without anion corrections is -452 meV per atom. As for the spin magnetization: 0.00 Bohr magnetons per cell.

Lattice parameters (Å, degrees): 7.8873 7.8873 7.8873 60.00 60.00 60.00
Closest atoms and distances in Å follow each position.
Fractional coordinates of all 28 atoms:
Be 0.4218 0.4218 0.7345  6 Be 2.38-2.47
Be 0.6250 0.6250 0.1250  6 Be 2.38
Be 0.4218 0.4218 0.4218  6 Be 2.38-2.47
Be 0.8282 0.5155 0.8282  6 Be 2.38-2.47
Be 0.7345 0.4218 0.4218  6 Be 2.38-2.47
Be 0.5155 0.8282 0.8282  6 Be 2.38-2.47
Be 0.8282 0.8282 0.5155  6 Be 2.38-2.47
Be 0.6250 0.6250 0.6250  6 Be 2.38
Be 0.8282 0.8282 0.8282  6 Be 2.38-2.47
Be 0.6250 0.1250 0.6250  6 Be 2.38
Be 0.1250 0.6250 0.6250  6 Be 2.38
Be 0.4218 0.7345 0.4218  6 Be 2.38-2.47
Ta 0.8095 0.8095 0.1905  2 N 2.10
Ta 0.4405 0.4405 0.0595  2 N 2.10
Ta 0.1905 0.8095 0.8095  2 N 2.10
Ta 0.0595 0.4405 0.0595  2 N 2.10
Ta 0.0595 0.4405 0.4405  2 N 2.10
Ta 0.1905 0.8095 0.1905  2 N 2.10
Ta 0.4405 0.0595 0.4405  2 N 2.10
Ta 0.0595 0.0595 0.4405  2 N 2.10
Ta 0.1905 0.1905 0.8095  2 N 2.10
Ta 0.8095 0.1905 0.1905  2 N 2.10
Ta 0.4405 0.0595 0.0595  2 N 2.10
Ta 0.8095 0.1905 0.8095  2 N 2.10
N 0.6250 0.1250 0.1250  6 Ta 2.10
N 0.1250 0.1250 0.1250  6 Ta 2.10
N 0.1250 0.6250 0.1250  6 Ta 2.10
N 0.1250 0.1250 0.6250  6 Ta 2.10

***

Record 7
DFT (PBE-GGA) results for Ca2In9Hg after structural relaxation.

Computed properties:
The value obtained for the formation energy is -2.30 eV per formula unit. As for the spin magnetization: 0.00 Bohr magnetons per cell.

Lattice parameters (Å, degrees): 4.7145 4.7145 14.2431 90.00 90.00 90.00
Closest atoms and distances in Å follow each position.
Fractional coordinates of all 12 atoms:
In 0.0000 0.5000 0.1651  8 In 3.33-3.45, 2 Hg 3.33, 2 Ca 3.37
In 0.5000 0.0000 0.5000  8 In 3.26-3.33, 4 Ca 3.34
In 0.5000 0.0000 0.1651  8 In 3.33-3.45, 2 Hg 3.33, 2 Ca 3.37
In 0.0000 0.5000 0.8349  2 Hg 3.33, 8 In 3.33-3.45, 2 Ca 3.37
In 0.5000 0.0000 0.8349  2 Hg 3.33, 8 In 3.33-3.45, 2 Ca 3.37
In 0.5000 0.5000 0.6577  8 In 3.26-3.45, 4 Ca 3.34
In 0.0000 0.5000 0.5000  8 In 3.26-3.33, 4 Ca 3.34
In 0.5000 0.5000 0.0000  8 In 3.33, 4 Hg 3.33
In 0.5000 0.5000 0.3423  8 In 3.26-3.45, 4 Ca 3.34
Ca 0.0000 0.0000 0.3342  12 In 3.34-3.37
Ca 0.0000 0.0000 0.6658  12 In 3.34-3.37
Hg 0.0000 0.0000 0.0000  12 In 3.33

***

Record 8
DFT (PBE-GGA) results for CuHg3Ru after structural relaxation.

Computed properties:
The energy relative to the lowest polymorph listed for this composition comes out at 0.0000 eV per atom. The value obtained for the formation energy is 4.74 eV per formula unit. As for the spin magnetization: 1.07 Bohr magnetons per cell.

Lattice parameters (Å, degrees): 5.2351 5.2351 5.2351 90.00 90.00 90.00
Closest atoms and distances in Å follow each position.
Fractional coordinates of all 5 atoms:
Hg 0.5000 0.0000 0.0000  2 Ru 2.62
Hg 0.0000 0.5000 0.0000  2 Ru 2.62
Hg 0.0000 0.0000 0.5000  2 Ru 2.62
Ru 0.0000 0.0000 0.0000  6 Hg 2.62
Cu 0.5000 0.5000 0.5000  12 Hg 3.70

***

Record 9
DFT (PBE-GGA) results for SrMg2ZnHg4 after structural relaxation.

Computed properties:
The value obtained for the formation energy is -1.93 eV per formula unit. As for the spin magnetization: 0.00 Bohr magnetons per cell.

Lattice parameters (Å, degrees): 4.7933 4.7933 10.2471 76.47 76.47 60.00
Closest atoms and distances in Å follow each position.
Fractional coordinates of all 8 atoms:
Zn 0.5000 0.5000 0.5000  8 Hg 2.99-3.10
Hg 0.3952 0.3952 0.8143  3 Mg 2.98, 1 Zn 3.10, 3 Sr 3.32
Hg 0.1282 0.1282 0.6153  4 Mg 2.90-3.15, 3 Zn 2.99
Hg 0.6048 0.6048 0.1857  3 Mg 2.98, 1 Zn 3.10, 3 Sr 3.32
Hg 0.8718 0.8718 0.3847  4 Mg 2.90-3.15, 3 Zn 2.99
Sr 0.0000 0.0000 0.0000  6 Hg 3.32
Mg 0.2345 0.2345 0.2965  7 Hg 2.90-3.15
Mg 0.7655 0.7655 0.7035  7 Hg 2.90-3.15

***

Record 10
DFT (PBE-GGA) results for K2CaTa after structural relaxation.

Computed properties:
The energy relative to the lowest polymorph listed for this composition comes out at 0.3953 eV per atom. The value obtained for the formation energy is 5.05 eV per formula unit. As for the spin magnetization: 4.93 Bohr magnetons per cell.

Lattice parameters (Å, degrees): 6.0418 6.0418 6.0418 120.18 120.18 89.68
Closest atoms and distances in Å follow each position.
Fractional coordinates of all 4 atoms:
K 0.0000 0.0000 0.0000  4 K 3.70, 4 Ca 3.70
K 0.2500 0.7500 0.5000  4 Ta 3.70, 4 K 3.70
Ta 0.5000 0.5000 0.0000  4 Ca 3.70, 4 K 3.70
Ca 0.7500 0.2500 0.5000  4 Ta 3.70, 4 K 3.70

***

Record 11
DFT (PBE-GGA) results for BF after structural relaxation.

Computed properties:
The formation energy without anion corrections is 904 meV per atom. The energy relative to the lowest polymorph listed for this composition comes out at 2.2279 eV per atom. As for the spin magnetization: 0.00 Bohr magnetons per cell.

Lattice parameters (Å, degrees): 4.9862 4.9862 4.9862 90.00 90.00 90.00
Closest atoms and distances in Å follow each position.
Fractional coordinates of all 8 atoms:
B 0.7500 0.2500 0.7500  4 F 2.16
B 0.2500 0.2500 0.2500  4 F 2.16
B 0.7500 0.7500 0.2500  4 F 2.16
B 0.2500 0.7500 0.7500  4 F 2.16
F 0.0000 0.5000 0.5000  4 B 2.16
F 0.5000 0.0000 0.5000  4 B 2.16
F 0.5000 0.5000 0.0000  4 B 2.16
F 0.0000 0.0000 0.0000  4 B 2.16

***

Record 12
DFT (PBE-GGA) results for TlBi2PbAu4 after structural relaxation.

Computed properties:
The value obtained for the formation energy is -0.23 eV per formula unit. As for the spin magnetization: 0.00 Bohr magnetons per cell.

Lattice parameters (Å, degrees): 5.9947 5.9947 7.0706 110.87 110.87 99.19
Closest atoms and distances in Å follow each position.
Fractional coordinates of all 8 atoms:
Bi 0.1861 0.6861 0.5000  6 Au 2.95-3.00
Bi 0.6861 0.1861 0.5000  6 Au 2.95-3.00
Au 0.6857 0.6857 0.4995  1 Tl 2.95, 1 Pb 2.96, 4 Bi 3.00
Au 0.9384 0.4383 0.0000  2 Bi 2.95, 2 Pb 3.00, 2 Tl 3.00
Au 0.4383 0.9384 0.0000  2 Bi 2.95, 2 Pb 3.00, 2 Tl 3.00
Au 0.1862 0.1862 0.5005  1 Tl 2.95, 1 Pb 2.96, 4 Bi 3.00
Tl 0.4383 0.4383 0.0000  6 Au 2.95-3.00
Pb 0.9382 0.9382 0.0000  6 Au 2.96-3.00

***

What is the formula in the seventh record? Ca2In9Hg

***

spin magnetization of number 11 (BF)? 0.00 Bohr magnetons per cell